# 1
Pr3Nd4Sm2 (GGA-PBE, relaxed); ΔE to the lowest computed polymorph = 28 meV per atom; mass density = 6.800 g/cm3; total moment = 0.000 μB/atom; raw total energy = -4.668 eV/atom; energy relative to the elements = 0.092 eV per atom
1.0
5.8656 -2.9658 0.0000
5.8656 2.9658 0.0000
-1.9609 0.0000 9.1266
Pr Nd Sm
3 4 2
Cartesian
0.0000 0.0000 0.0000
0.0156 0.0000 6.2437
9.7548 0.0000 2.8829
1.9564 0.0000 3.3721
3.6858 0.0000 0.3687
6.0846 0.0000 8.7579
7.8140 0.0000 5.7545
3.7538 0.0000 6.3585
6.0166 0.0000 2.7681

=====

# 2
MnGaPAu2 (GGA-PBE, relaxed); mass density = 8.192 g/cm3; total moment = 0.919 μB/atom; raw total energy = -4.145 eV/atom; energy relative to the elements = 0.687 eV per atom
1.0
4.8553 0.0000 0.0000
0.0000 4.8553 0.0000
0.0000 0.0000 4.7255
Mn Ga P Au
1 1 1 2
Cartesian
0.0000 0.0000 0.0000
2.4277 2.4277 2.3628
2.4277 2.4277 0.0000
0.0000 2.4277 2.3628
2.4277 0.0000 2.3628

=====

# 3
Li2SiGeCl (GGA-PBE, relaxed); mass density = 2.482 g/cm3; total moment = 0.000 μB/atom; raw total energy = -3.270 eV/atom; raw formation energy = -0.13 eV/atom
1.0
4.2468 0.0000 0.0000
0.0000 4.2468 0.0000
0.0000 0.0000 5.5667
Li Si Ge Cl
2 1 1 1
Cartesian
0.0000 2.1234 0.0000
2.1234 0.0000 0.0000
0.0000 0.0000 2.7833
2.1234 2.1234 2.7833
2.1234 2.1234 0.0000

=====

# 4
TbSm5Si4 (GGA-PBE, relaxed); mass density = 6.369 g/cm3; total moment = 0.000 μB/atom; raw total energy = -5.501 eV/atom; raw formation energy = -0.51 eV/atom
1.0
7.7004 -2.5101 0.0000
7.7004 2.5101 0.0000
-0.0462 0.0000 6.8997
Tb Sm Si
1 5 4
Cartesian
0.0000 0.0000 0.0000
-0.0231 0.0000 3.4498
5.1426 0.0000 3.4810
5.1069 0.0000 6.8524
10.2478 0.0000 0.0473
10.2120 0.0000 3.4187
2.7043 0.0000 1.7214
7.5567 0.0000 1.6904
7.7980 0.0000 5.2093
12.6503 0.0000 5.1783

=====

# 5
RbBeSbF2 (GGA-PBE, relaxed); mass density = 2.697 g/cm3; total moment = 0.026 μB/atom; raw total energy = -2.987 eV/atom; raw formation energy = -0.48 eV/atom
1.0
4.5826 0.0000 0.0000
0.0000 4.5826 0.0000
0.0000 0.0000 7.4532
Rb Be Sb F
1 1 1 2
Cartesian
0.0000 0.0000 0.0000
2.2913 2.2913 0.0000
0.0000 0.0000 3.7266
0.0000 2.2913 3.7266
2.2913 0.0000 3.7266

=====

# 6
SrCdIn2Hg2 (GGA-PBE, relaxed); mass density = 8.275 g/cm3; total moment = 0.000 μB/atom; raw total energy = -1.703 eV/atom; energy relative to the elements = -0.257 eV per atom
1.0
5.0012 0.0000 0.0000
-2.5006 4.3312 0.0000
0.0000 0.0000 7.6967
Sr Cd In Hg
1 1 2 2
Cartesian
0.0000 0.0000 0.0000
0.0000 0.0000 3.8484
0.0000 2.8874 2.5606
2.5006 1.4437 5.1361
0.0000 2.8874 5.9956
2.5006 1.4437 1.7011

=====

# 7
NaReTe2C (GGA-PBE, relaxed); mass density = 7.677 g/cm3; total moment = 0.015 μB/atom; raw total energy = -5.096 eV/atom; raw formation energy = 0.76 eV/atom
1.0
5.1012 0.0000 0.0000
0.0000 5.1012 0.0000
0.0000 0.0000 3.9598
Na Re Te C
1 1 2 1
Cartesian
0.0000 0.0000 0.0000
2.5506 2.5506 0.0000
0.0000 2.5506 1.9799
2.5506 0.0000 1.9799
2.5506 2.5506 1.9799

=====

# 8
HgAs3I (GGA-PBE, relaxed); ΔE to the lowest computed polymorph = 0 meV per atom; mass density = 6.239 g/cm3; total moment = 0.000 μB/atom; raw total energy = -2.121 eV/atom; raw formation energy = 1.04 eV/atom
1.0
5.2775 0.0000 0.0000
0.0000 5.2775 0.0000
0.0000 0.0000 5.2775
Hg As I
1 3 1
Cartesian
0.0000 0.0000 0.0000
0.0000 0.0000 2.6388
0.0000 2.6388 0.0000
2.6388 0.0000 0.0000
2.6388 2.6388 2.6388

=====

# 9
ZrMo3Pd (GGA-PBE, relaxed); ΔE to the lowest computed polymorph = 0 meV per atom; mass density = 7.585 g/cm3; total moment = 0.000 μB/atom; raw total energy = -7.650 eV/atom; energy relative to the elements = 1.597 eV per atom
1.0
4.7367 0.0000 0.0000
0.0000 4.7367 0.0000
0.0000 0.0000 4.7367
Zr Mo Pd
1 3 1
Cartesian
0.0000 0.0000 0.0000
0.0000 2.3684 2.3684
2.3684 0.0000 2.3684
2.3684 2.3684 0.0000
2.3684 2.3684 2.3684

=====

# 10
BiAsI2N (GGA-PBE, relaxed); ΔE to the lowest computed polymorph = 0 meV per atom; mass density = 6.514 g/cm3; total moment = 0.000 μB/atom; raw total energy = -3.347 eV/atom; raw formation energy = 0.64 eV/atom
1.0
6.1597 0.0000 0.0000
0.0000 6.1597 0.0000
0.0000 0.0000 3.7070
Bi As I N
1 1 2 1
Cartesian
0.0000 0.0000 0.0000
3.0798 3.0798 1.8535
0.0000 3.0798 1.8535
3.0798 0.0000 1.8535
3.0798 3.0798 0.0000

=====

# 11
PmZn3Ge (GGA-PBE, relaxed); mass density = 7.283 g/cm3; total moment = 0.000 μB/atom; raw total energy = -3.030 eV/atom; energy relative to the elements = -0.392 eV per atom
1.0
4.1150 0.0000 0.0000
0.0000 4.1150 0.0000
0.0000 0.0000 5.5728
Pm Zn Ge
1 3 1
Cartesian
0.0000 0.0000 0.0000
0.0000 2.0575 2.7949
2.0575 0.0000 2.7949
2.0575 2.0575 4.2968
2.0575 2.0575 1.1682

=====

# 12
TcAs2Se (GGA-PBE, relaxed); ΔE to the lowest computed polymorph = 56 meV per atom; mass density = 6.998 g/cm3; total moment = 0.000 μB/atom; raw total energy = -5.762 eV/atom; raw formation energy = 0.03 eV/atom
1.0
2.9958 0.0000 0.0000
0.0000 3.0722 0.0000
0.0000 0.0000 8.4259
Tc As Se
1 2 1
Cartesian
0.0000 0.0000 0.0000
1.4979 1.5361 1.5067
1.4979 1.5361 6.9191
1.4979 0.0000 4.2129